(1)
Entry from the Alexandria database: a relaxed structure of TlSn4Hg2 (PBE-GGA).

The calculation puts the energy of formation from the pure elements at 59 meV/atom.

abc: 12.6499 12.6499 3.3001
angles: 90.00 90.00 157.97
Fractional coordinates of all 7 atoms:
Tl 0.0000 0.0000 0.0000
Sn 0.1473 0.8527 0.5000
Sn 0.2903 0.7097 0.0000
Sn 0.7097 0.2903 0.0000
Sn 0.8527 0.1473 0.5000
Hg 0.4294 0.5706 0.5000
Hg 0.5706 0.4294 0.5000

---

(2)
Entry from the Alexandria database: a relaxed structure of Tl2Sn2Hg (PBE-GGA).

The offset from the most stable computed form is 150 meV/atom. The calculation puts the energy of formation from the pure elements at 154 meV/atom.

abc: 6.9963 6.9963 6.9963
angles: 135.33 135.33 65.02
Fractional coordinates of all 5 atoms:
Tl 0.2500 0.7500 0.5000
Tl 0.7500 0.2500 0.5000
Sn 0.1198 0.1198 0.0000
Sn 0.8802 0.8802 0.0000
Hg 0.5000 0.5000 0.0000

---

(3)
Entry from the Alexandria database: a relaxed structure of Tl16Sn6Hg7 (PBE-GGA).

The calculation puts the energy of formation from the pure elements at 47 meV/atom.

abc: 10.8672 10.8672 10.8672
angles: 60.00 60.00 60.00
Fractional coordinates of all 29 atoms:
Tl 0.0375 0.6542 0.6542
Tl 0.1191 0.1191 0.1191
Tl 0.1191 0.1191 0.6427
Tl 0.1191 0.6427 0.1191
Tl 0.3458 0.3458 0.3458
Tl 0.3458 0.3458 0.9625
Tl 0.3458 0.9625 0.3458
Tl 0.3573 0.8809 0.8809
Tl 0.6427 0.1191 0.1191
Tl 0.6542 0.0375 0.6542
Tl 0.6542 0.6542 0.0375
Tl 0.6542 0.6542 0.6542
Tl 0.8809 0.3573 0.8809
Tl 0.8809 0.8809 0.3573
Tl 0.8809 0.8809 0.8809
Tl 0.9625 0.3458 0.3458
Sn 0.3497 0.3497 0.6503
Sn 0.3497 0.6503 0.3497
Sn 0.3497 0.6503 0.6503
Sn 0.6503 0.3497 0.3497
Sn 0.6503 0.3497 0.6503
Sn 0.6503 0.6503 0.3497
Hg 0.0000 0.0000 0.0000
Hg 0.0000 0.0000 0.5000
Hg 0.0000 0.5000 0.0000
Hg 0.0000 0.5000 0.5000
Hg 0.5000 0.0000 0.0000
Hg 0.5000 0.0000 0.5000
Hg 0.5000 0.5000 0.0000

---

(4)
Entry from the Alexandria database: a relaxed structure of Tl5Sn2Hg (PBE-GGA).

The offset from the most stable computed form is 11 meV/atom. The calculation puts the energy of formation from the pure elements at 29 meV/atom.

abc: 6.7945 12.9613 5.3768
angles: 90.00 90.00 90.00
Fractional coordinates of all 16 atoms:
Tl 0.0000 0.0000 0.0000
Tl 0.0809 0.2569 0.0000
Tl 0.1608 0.8536 0.5000
Tl 0.3392 0.3536 0.5000
Tl 0.4191 0.7569 0.0000
Tl 0.5000 0.5000 0.0000
Tl 0.5809 0.2431 0.0000
Tl 0.6608 0.6464 0.5000
Tl 0.8392 0.1464 0.5000
Tl 0.9191 0.7431 0.0000
Sn 0.1670 0.5946 0.5000
Sn 0.3330 0.0946 0.5000
Sn 0.6670 0.9054 0.5000
Sn 0.8330 0.4054 0.5000
Hg 0.0000 0.5000 0.0000
Hg 0.5000 0.0000 0.0000

---

(5)
Entry from the Alexandria database: a relaxed structure of Tl3SnHg3 (PBE-GGA).

The offset from the most stable computed form is 396 meV/atom. The calculation puts the energy of formation from the pure elements at 429 meV/atom.

abc: 8.3286 8.3286 8.3286
angles: 90.00 90.00 90.00
Fractional coordinates of all 14 atoms:
Tl 0.0000 0.2500 0.5000
Tl 0.0000 0.7500 0.5000
Tl 0.2500 0.5000 0.0000
Tl 0.5000 0.0000 0.2500
Tl 0.5000 0.0000 0.7500
Tl 0.7500 0.5000 0.0000
Sn 0.0000 0.0000 0.0000
Sn 0.5000 0.5000 0.5000
Hg 0.0000 0.5000 0.2500
Hg 0.0000 0.5000 0.7500
Hg 0.2500 0.0000 0.5000
Hg 0.5000 0.2500 0.0000
Hg 0.5000 0.7500 0.0000
Hg 0.7500 0.0000 0.5000

---

(6)
Entry from the Alexandria database: a relaxed structure of Tl5Sn4Hg4 (PBE-GGA).

The calculation puts the energy of formation from the pure elements at 11 meV/atom.

abc: 9.6545 9.6545 9.6545
angles: 92.76 92.76 154.66
Fractional coordinates of all 13 atoms:
Tl 0.0000 0.0000 0.0000
Tl 0.2974 0.5341 0.8315
Tl 0.4659 0.2974 0.7633
Tl 0.5341 0.7026 0.2367
Tl 0.7026 0.4659 0.1685
Sn 0.0831 0.4023 0.4854
Sn 0.4023 0.9169 0.3192
Sn 0.5977 0.0831 0.6808
Sn 0.9169 0.5977 0.5146
Hg 0.1613 0.7723 0.9337
Hg 0.2277 0.1613 0.3890
Hg 0.7723 0.8387 0.6110
Hg 0.8387 0.2277 0.0663

---

(7)
Entry from the Alexandria database: a relaxed structure of Tl2SnHg7 (PBE-GGA).

The calculation puts the energy of formation from the pure elements at 39 meV/atom.

abc: 9.8856 3.2414 10.7921
angles: 90.00 116.01 90.00
Fractional coordinates of all 10 atoms:
Tl 0.1700 0.0000 0.3538
Tl 0.8300 0.0000 0.6462
Sn 0.5000 0.5000 0.0000
Hg 0.0000 0.0000 0.0000
Hg 0.1816 0.0000 0.8212
Hg 0.3289 0.5000 0.6475
Hg 0.3584 0.0000 0.1850
Hg 0.6416 0.0000 0.8150
Hg 0.6711 0.5000 0.3525
Hg 0.8184 0.0000 0.1788

---

(8)
Entry from the Alexandria database: a relaxed structure of Tl6SnHg10 (PBE-GGA).

The calculation puts the energy of formation from the pure elements at 15 meV/atom.

abc: 9.4776 9.4776 6.3557
angles: 90.00 90.00 120.00
Fractional coordinates of all 17 atoms:
Tl 0.0000 0.3876 0.2691
Tl 0.0000 0.6124 0.7309
Tl 0.3876 0.0000 0.2691
Tl 0.3876 0.3876 0.7309
Tl 0.6124 0.0000 0.7309
Tl 0.6124 0.6124 0.2691
Sn 0.0000 0.0000 0.5000
Hg 0.0000 0.2577 0.7960
Hg 0.0000 0.7423 0.2040
Hg 0.2577 0.0000 0.7960
Hg 0.2577 0.2577 0.2040
Hg 0.3333 0.6667 0.0000
Hg 0.3333 0.6667 0.5000
Hg 0.6667 0.3333 0.0000
Hg 0.6667 0.3333 0.5000
Hg 0.7423 0.0000 0.2040
Hg 0.7423 0.7423 0.7960

---

(9)
Entry from the Alexandria database: a relaxed structure of Tl12Sn2Hg5 (PBE-GGA).

The offset from the most stable computed form is 12 meV/atom. The calculation puts the energy of formation from the pure elements at 30 meV/atom.

abc: 8.8043 8.8043 8.2207
angles: 90.33 90.33 65.58
Fractional coordinates of all 19 atoms:
Tl 0.0530 0.0530 0.3259
Tl 0.0764 0.6639 0.3386
Tl 0.1725 0.5338 0.7563
Tl 0.3361 0.9236 0.6614
Tl 0.4128 0.4128 0.1210
Tl 0.4662 0.8275 0.2437
Tl 0.5338 0.1725 0.7563
Tl 0.5872 0.5872 0.8790
Tl 0.6639 0.0764 0.3386
Tl 0.8275 0.4662 0.2437
Tl 0.9236 0.3361 0.6614
Tl 0.9470 0.9470 0.6741
Sn 0.1739 0.8261 0.0000
Sn 0.8261 0.1739 0.0000
Hg 0.1994 0.1994 0.9847
Hg 0.2595 0.2595 0.4147
Hg 0.5000 0.5000 0.5000
Hg 0.7405 0.7405 0.5853
Hg 0.8006 0.8006 0.0153

---

(10)
Entry from the Alexandria database: a relaxed structure of Tl5SnHg4 (PBE-GGA).

The calculation puts the energy of formation from the pure elements at -3 meV/atom.

abc: 3.4348 3.4348 24.4192
angles: 90.00 90.00 90.00
Fractional coordinates of all 10 atoms:
Tl 0.0000 0.0000 0.0000
Tl 0.0000 0.0000 0.1976
Tl 0.0000 0.0000 0.3994
Tl 0.0000 0.0000 0.6006
Tl 0.0000 0.0000 0.8024
Sn 0.5000 0.5000 0.5000
Hg 0.5000 0.5000 0.0978
Hg 0.5000 0.5000 0.2965
Hg 0.5000 0.5000 0.7035
Hg 0.5000 0.5000 0.9022

---

(11)
Entry from the Alexandria database: a relaxed structure of Tl3Sn2Hg4 (PBE-GGA).

The offset from the most stable computed form is 2 meV/atom. The calculation puts the energy of formation from the pure elements at 21 meV/atom.

abc: 9.5045 9.5045 6.4939
angles: 90.34 90.34 59.92
Fractional coordinates of all 18 atoms:
Tl 0.0004 0.9996 0.2500
Tl 0.9996 0.0004 0.7500
Tl 0.3393 0.3396 0.2497
Tl 0.3396 0.3393 0.7497
Tl 0.6604 0.6607 0.2503
Tl 0.6607 0.6604 0.7503
Sn 0.0022 0.3391 0.0001
Sn 0.3391 0.0022 0.5001
Sn 0.6609 0.9978 0.4999
Sn 0.9978 0.6609 0.9999
Hg 0.0071 0.3308 0.5000
Hg 0.3269 0.6714 0.5002
Hg 0.3286 0.6731 0.9998
Hg 0.3308 0.0071 0.0000
Hg 0.6692 0.9929 0.0000
Hg 0.6714 0.3269 0.0002
Hg 0.6731 0.3286 0.4998
Hg 0.9929 0.6692 0.5000

---

(12)
Entry from the Alexandria database: a relaxed structure of Tl6SnHg (PBE-GGA).

The offset from the most stable computed form is 3 meV/atom. The calculation puts the energy of formation from the pure elements at 24 meV/atom.

abc: 4.7332 4.7332 10.7263
angles: 90.00 90.00 90.00
Fractional coordinates of all 8 atoms:
Tl 0.0000 0.0000 0.0000
Tl 0.0000 0.0000 0.5000
Tl 0.0000 0.5000 0.2442
Tl 0.0000 0.5000 0.7558
Tl 0.5000 0.0000 0.2442
Tl 0.5000 0.0000 0.7558
Sn 0.5000 0.5000 0.0000
Hg 0.5000 0.5000 0.5000

---

(13)
Entry from the Alexandria database: a relaxed structure of Tl3Sn2Hg5 (PBE-GGA).

The calculation puts the energy of formation from the pure elements at 28 meV/atom.

abc: 14.5057 14.5057 6.5802
angles: 96.28 96.28 152.15
Fractional coordinates of all 20 atoms:
Tl 0.1195 0.3262 0.0444
Tl 0.2029 0.7971 0.7500
Tl 0.3262 0.1195 0.5444
Tl 0.6738 0.8805 0.4556
Tl 0.7971 0.2029 0.2500
Tl 0.8805 0.6738 0.9556
Sn 0.2501 0.2507 0.3268
Sn 0.2507 0.2501 0.8268
Sn 0.7493 0.7499 0.1732
Sn 0.7499 0.7493 0.6732
Hg 0.1696 0.3661 0.5597
Hg 0.2092 0.7908 0.2500
Hg 0.2953 0.6827 0.9920
Hg 0.3173 0.7047 0.5080
Hg 0.3661 0.1696 0.0597
Hg 0.6339 0.8304 0.9403
Hg 0.6827 0.2953 0.4920
Hg 0.7047 0.3173 0.0080
Hg 0.7908 0.2092 0.7500
Hg 0.8304 0.6339 0.4403

---

(14)
Entry from the Alexandria database: a relaxed structure of Tl2Sn3Hg8 (PBE-GGA).

The calculation puts the energy of formation from the pure elements at 33 meV/atom.

abc: 4.9936 4.5492 16.7396
angles: 90.00 93.60 90.00
Fractional coordinates of all 13 atoms:
Tl 0.2334 0.0000 0.4239
Tl 0.7666 0.0000 0.5761
Sn 0.1676 0.5000 0.9280
Sn 0.5000 0.0000 0.0000
Sn 0.8324 0.5000 0.0720
Hg 0.1954 0.0000 0.1497
Hg 0.2247 0.5000 0.2778
Hg 0.2643 0.5000 0.5828
Hg 0.2824 0.0000 0.7335
Hg 0.7176 0.0000 0.2665
Hg 0.7357 0.5000 0.4172
Hg 0.7753 0.5000 0.7222
Hg 0.8046 0.0000 0.8503

---

(15)
Entry from the Alexandria database: a relaxed structure of TlSn6Hg (PBE-GGA).

The calculation puts the energy of formation from the pure elements at 62 meV/atom.

abc: 7.1230 7.1230 6.2997
angles: 116.19 116.19 101.69
Fractional coordinates of all 8 atoms:
Tl 0.0000 0.0000 0.0000
Sn 0.0106 0.4880 0.7494
Sn 0.4880 0.0106 0.7494
Sn 0.4990 0.4990 0.7471
Sn 0.5010 0.5010 0.2529
Sn 0.5120 0.9894 0.2506
Sn 0.9894 0.5120 0.2506
Hg 0.0000 0.0000 0.5000

---

(16)
Entry from the Alexandria database: a relaxed structure of Tl8Sn2Hg (PBE-GGA).

The offset from the most stable computed form is 48 meV/atom. The calculation puts the energy of formation from the pure elements at 69 meV/atom.

abc: 8.2364 8.2364 7.3554
angles: 108.12 108.12 47.55
Fractional coordinates of all 11 atoms:
Tl 0.1225 0.1225 0.0015
Tl 0.1629 0.6799 0.6057
Tl 0.2611 0.2611 0.7364
Tl 0.3201 0.8371 0.3943
Tl 0.6799 0.1629 0.6057
Tl 0.7389 0.7389 0.2636
Tl 0.8371 0.3201 0.3943
Tl 0.8775 0.8775 0.9985
Sn 0.3588 0.3588 0.2089
Sn 0.6412 0.6412 0.7911
Hg 0.5000 0.5000 0.0000

---

(17)
Entry from the Alexandria database: a relaxed structure of TlSnHg2 (PBE-GGA).

The calculation puts the energy of formation from the pure elements at 57 meV/atom.

abc: 6.7021 6.7021 6.7021
angles: 41.94 41.94 41.94
Fractional coordinates of all 4 atoms:
Tl 0.0000 0.0000 0.0000
Sn 0.1866 0.1866 0.1866
Hg 0.5798 0.5798 0.5798
Hg 0.7718 0.7718 0.7718

---

(18)
Entry from the Alexandria database: a relaxed structure of Tl4SnHg (PBE-GGA).

The offset from the most stable computed form is 140 meV/atom. The calculation puts the energy of formation from the pure elements at 160 meV/atom.

abc: 6.4559 6.4559 6.4559
angles: 60.00 60.00 60.00
Fractional coordinates of all 6 atoms:
Tl 0.1248 0.1248 0.1248
Tl 0.1248 0.1248 0.6255
Tl 0.1248 0.6255 0.1248
Tl 0.6255 0.1248 0.1248
Sn 0.7500 0.7500 0.7500
Hg 0.5000 0.5000 0.5000

---

(19)
Entry from the Alexandria database: a relaxed structure of Tl5Sn2Hg (PBE-GGA).

The offset from the most stable computed form is 0 meV/atom. The calculation puts the energy of formation from the pure elements at 18 meV/atom.

abc: 11.4084 11.4084 11.4084
angles: 156.33 156.33 33.73
Fractional coordinates of all 8 atoms:
Tl 0.0000 0.0000 0.0000
Tl 0.1291 0.6291 0.5000
Tl 0.3709 0.8709 0.5000
Tl 0.6291 0.1291 0.5000
Tl 0.8709 0.3709 0.5000
Sn 0.2509 0.2509 0.0000
Sn 0.7491 0.7491 0.0000
Hg 0.5000 0.5000 0.0000

---

(20)
Entry from the Alexandria database: a relaxed structure of Tl2Sn4Hg (PBE-GGA).

The calculation puts the energy of formation from the pure elements at 98 meV/atom.

abc: 6.8740 6.8740 6.8740
angles: 124.64 124.64 82.14
Fractional coordinates of all 7 atoms:
Tl 0.0000 0.5000 0.5000
Tl 0.5000 0.0000 0.5000
Sn 0.0000 0.0000 0.5000
Sn 0.0000 0.5000 0.0000
Sn 0.5000 0.0000 0.0000
Sn 0.5000 0.5000 0.5000
Hg 0.0000 0.0000 0.0000

---

Number 1: DOS(E_F) 3.1 states/eV/f.u., total magnetic moment 0.000 μB/atom. Number 2: DOS(E_F) 1.8 states/eV/f.u., total magnetic moment 0.000 μB/atom. Number 3: DOS(E_F) 10.0 states/eV/f.u., total magnetic moment 0.000 μB/atom. Number 4: DOS(E_F) 3.6 states/eV/f.u., total magnetic moment 0.000 μB/atom. Number 5: DOS(E_F) 7.0 states/eV/f.u., total magnetic moment 0.000 μB/atom. Number 6: DOS(E_F) 5.2 states/eV/f.u., total magnetic moment 0.000 μB/atom. Number 7: DOS(E_F) 2.6 states/eV/f.u., total magnetic moment 0.000 μB/atom. Number 8: DOS(E_F) 6.3 states/eV/f.u., total magnetic moment 0.000 μB/atom. Number 9: DOS(E_F) 8.3 states/eV/f.u., total magnetic moment 0.000 μB/atom. Number 10: DOS(E_F) 4.1 states/eV/f.u., total magnetic moment 0.000 μB/atom. Number 11: DOS(E_F) 3.9 states/eV/f.u., total magnetic moment 0.000 μB/atom. Number 12: DOS(E_F) 3.5 states/eV/f.u., total magnetic moment 0.000 μB/atom. Number 13: DOS(E_F) 4.3 states/eV/f.u., total magnetic moment 0.000 μB/atom. Number 14: DOS(E_F) 3.8 states/eV/f.u., total magnetic moment 0.000 μB/atom. Number 15: DOS(E_F) 3.1 states/eV/f.u., total magnetic moment 0.000 μB/atom. Number 16: DOS(E_F) 5.0 states/eV/f.u., total magnetic moment 0.000 μB/atom. Number 17: DOS(E_F) 1.8 states/eV/f.u., total magnetic moment 0.000 μB/atom. Number 18: DOS(E_F) 4.5 states/eV/f.u., total magnetic moment 0.000 μB/atom. Number 19: DOS(E_F) 4.8 states/eV/f.u., total magnetic moment 0.000 μB/atom. Number 20: DOS(E_F) 3.8 states/eV/f.u., total magnetic moment 0.000 μB/atom.